# 1
VASP calculation (PBE-GGA) on Rb3LiTh2S6 after structural relaxation.

Calculated volume in Å³ per cell: 352.61
E_form (uncorrected) in eV/atom: -1.667
Calculated density in g cm⁻³: 4.332
SG: No. 12
Total magnetic moment in μB per atom: 0.0000
Total energy in eV per formula unit: -64.42

a b c (Å): 7.290 7.290 8.033
angles (deg): 98.59 98.59 120.06
Sites, in units of the cell vectors:
Rb  0.000  0.000  0.000
Rb  0.341  0.659  0.000
Rb  0.659  0.341  0.000
Li  0.500  0.500  0.500
Th  0.167  0.833  0.500
Th  0.833  0.167  0.500
S  0.085  0.435  0.303
S  0.217  0.217  0.692
S  0.435  0.085  0.303
S  0.565  0.915  0.697
S  0.783  0.783  0.308
S  0.915  0.565  0.697



# 2
VASP calculation (PBE-GGA) on CuAsPO2 after structural relaxation.

Calculated volume in Å³ per cell: 67.44
E_form (uncorrected) in eV/atom: -0.077
Calculated density in g cm⁻³: 4.960
SG: No. 123
ΔE to the lowest computed polymorph in meV per atom: 0
Total magnetic moment in μB per atom: 0.0000
Total energy in eV per formula unit: -24.46

a b c (Å): 3.606 3.606 5.187
angles (deg): 90.00 90.00 90.00
Sites, in units of the cell vectors:
Cu  0.000  0.000  0.000
As  0.500  0.500  0.500
P  0.500  0.500  0.000
O  0.000  0.500  0.500
O  0.500  0.000  0.500



# 3
VASP calculation (PBE-GGA) on SmDyEr after structural relaxation.

Calculated volume in Å³ per cell: 191.13
Calculated density in g cm⁻³: 8.342
SG: No. 107
ΔE to the lowest computed polymorph in meV per atom: 27
ΔH_f (0 K) in eV per atom: 0.021
Total magnetic moment in μB per atom: 0.0000
Total energy in eV per formula unit: -13.82

a b c (Å): 3.555 3.555 15.121
angles (deg): 90.00 90.00 90.00
Sites, in units of the cell vectors:
Sm  0.000  0.000  0.000
Sm  0.500  0.500  0.500
Dy  0.000  0.000  0.669
Dy  0.500  0.500  0.169
Er  0.000  0.000  0.333
Er  0.500  0.500  0.833